(A)
Er3TmIn3 | PBE-GGA | relaxed

As for the crystal system: hexagonal.

It has space group P6_3/m (No. 176), with a = 9.2191 Å, b = 9.2191 Å, c = 5.1485 Å, α = 90.00°, β = 90.00° and γ = 120.00°. Symmetry generates all atoms from Er at (0.0055, 0.2333, 0.2500), Tm at (0.3333, 0.6667, 0.2500) and In at (0.0737, 0.4557, 0.7500).

***

(B)
Er3TmIn3 | PBE-GGA | relaxed

As for the crystal system: cubic.

It has space group P2_13 (No. 198), with a = 9.232 Å, b = 9.232 Å, c = 9.232 Å, α = 90.00°, β = 90.00° and γ = 90.00°. Symmetry generates all atoms from Er at (0.072, 0.428, 0.572), Er at (0.175, 0.175, 0.175), Er at (0.175, 0.825, 0.325), Tm at (0.077, 0.577, 0.923) and In at (0.001, 0.253, 0.874).

***

The most stable structure shown above is (A); the least stable is (B).